## KFeCu2 (PBE)

Data for an optimized crystal structure of KFeCu2.

Cell lengths 6.0484, 6.0484, 6.0484 Å; angles 154.81, 125.31, 61.13 degrees
Last column: nearest neighbours and their distance in Å.
Sites, in units of the cell vectors:
K1 0.0000 0.0000 0.0000  2 K 2.64
Fe1 0.5000 0.5000 0.0000  4 Cu 2.48, 2 Fe 2.64
Cu1 0.2983 0.7983 0.5000  2 Fe 2.48, 2 Cu 2.64
Cu2 0.7017 0.2017 0.5000  2 Fe 2.48, 2 Cu 2.64

## Properties
Its formation energy is 0.816 eV/atom. As for the space-group type: Immm. For the raw total energy, the calculation gives -14.49 eV per cell. As for the volume: 76.34 Å³/cell. The distance to the lowest polymorph of the same formula is 300 meV per atom. The magnetic moment is 0.703 μB/atom.

## SmHoMgCo (PBE)

Data for an optimized crystal structure of SmHoMgCo.

Cell lengths 3.4268, 3.4268, 8.1267 Å; angles 90.00, 90.00, 90.00 degrees
Last column: nearest neighbours and their distance in Å.
Sites, in units of the cell vectors:
Sm1 0.0000 0.0000 0.0000  4 Co 2.97, 1 Ho 3.28
Ho1 0.0000 0.0000 0.5970  4 Co 2.88
Mg1 0.5000 0.5000 0.3047  4 Ho 3.39, 4 Mg 3.43, 4 Sm 3.46
Co1 0.5000 0.5000 0.7891  4 Ho 2.88, 4 Sm 2.97

## Properties
Its formation energy is -0.106 eV/atom. As for the space-group type: P4mm. For the raw total energy, the calculation gives -18.42 eV per cell. As for the volume: 95.43 Å³/cell. The distance to the lowest polymorph of the same formula is 0 meV per atom. The magnetic moment is 0.198 μB/atom.

## Ta2FeRe (PBE)

Data for an optimized crystal structure of Ta2FeRe.

Cell lengths 9.3363, 9.3363, 9.3363 Å; angles 17.45, 17.45, 17.45 degrees
Last column: nearest neighbours and their distance in Å.
Sites, in units of the cell vectors:
Ta1 0.0000 0.0000 0.0000  3 Fe 2.75, 9 Ta 2.83-3.07
Ta2 0.2393 0.2393 0.2393  9 Ta 2.83-3.07, 3 Re 2.92
Fe1 0.7467 0.7467 0.7467  3 Re 2.56, 3 Ta 2.75, 6 Fe 2.83
Re1 0.4848 0.4848 0.4848  3 Fe 2.56, 6 Re 2.83

## Properties
Its formation energy is 0.231 eV/atom. As for the space-group type: R3m. For the raw total energy, the calculation gives -43.69 eV per cell. As for the volume: 63.83 Å³/cell. The magnetic moment is 0.409 μB/atom.

## ScFeH3 (PBE)

Data for an optimized crystal structure of ScFeH3.

Cell lengths 3.6483, 3.6483, 3.6483 Å; angles 90.00, 90.00, 90.00 degrees
Last column: nearest neighbours and their distance in Å.
Sites, in units of the cell vectors:
Sc1 0.0000 0.0000 0.0000  6 H 1.82
Fe1 0.5000 0.5000 0.5000  12 H 2.58
H1 0.0000 0.0000 0.5000  2 Sc 1.82
H2 0.0000 0.5000 0.0000  2 Sc 1.82
H3 0.5000 0.0000 0.0000  2 Sc 1.82

## Properties
As for the space-group type: Pm-3m. For the raw total energy, the calculation gives -23.61 eV per cell. As for the volume: 48.56 Å³/cell. The magnetic moment is 0.564 μB/atom.

## LaGaHgRh2 (PBE)

Data for an optimized crystal structure of LaGaHgRh2.

Cell lengths 5.1088, 5.1088, 4.7149 Å; angles 90.00, 90.00, 90.00 degrees
Last column: nearest neighbours and their distance in Å.
Sites, in units of the cell vectors:
La1 0.0000 0.0000 0.0000  8 Rh 3.48, 4 Ga 3.61
Ga1 0.5000 0.5000 0.0000  2 Hg 2.36
Hg1 0.5000 0.5000 0.5000  2 Ga 2.36, 4 Rh 2.55
Rh1 0.0000 0.5000 0.5000  2 Hg 2.55
Rh2 0.5000 0.0000 0.5000  2 Hg 2.55

## Properties
Its formation energy is 0.403 eV/atom. As for the space-group type: P4/mmm. For the raw total energy, the calculation gives -20.95 eV per cell. As for the volume: 123.06 Å³/cell. The magnetic moment is 0.000 μB/atom.

## PmEr9Tm2 (PBE)

Data for an optimized crystal structure of PmEr9Tm2.

Cell lengths 11.1044, 11.1044, 3.4807 Å; angles 90.00, 90.00, 120.00 degrees
Last column: nearest neighbours and their distance in Å.
Sites, in units of the cell vectors:
Pm1 0.0000 0.0000 0.0000  2 Pm 3.48, 12 Er 3.85
Er1 0.0000 0.5000 0.0000  2 Tm 3.21, 10 Er 3.48-3.55
Er2 0.1787 0.3574 0.5000  8 Er 3.44-3.55, 2 Tm 3.45
Er3 0.1787 0.8213 0.5000  8 Er 3.44-3.55, 2 Tm 3.45
Er4 0.3574 0.1787 0.5000  8 Er 3.44-3.55, 2 Tm 3.45
Er5 0.5000 0.0000 0.0000  2 Tm 3.21, 10 Er 3.48-3.55
Er6 0.5000 0.5000 0.0000  2 Tm 3.21, 10 Er 3.48-3.55
Er7 0.6426 0.8213 0.5000  8 Er 3.44-3.55, 2 Tm 3.45
Er8 0.8213 0.1787 0.5000  8 Er 3.44-3.55, 2 Tm 3.45
Er9 0.8213 0.6426 0.5000  8 Er 3.44-3.55, 2 Tm 3.45
Tm1 0.3333 0.6667 0.0000  9 Er 3.21-3.45, 2 Tm 3.48
Tm2 0.6667 0.3333 0.0000  9 Er 3.21-3.45, 2 Tm 3.48

## Properties
Its formation energy is 0.041 eV/atom. As for the space-group type: P6/mmm. For the raw total energy, the calculation gives -54.27 eV per cell. As for the volume: 371.69 Å³/cell. The distance to the lowest polymorph of the same formula is 16 meV per atom. The magnetic moment is 0.000 μB/atom.